1.
Compound: TcRuPt2
Source: Alexandria
Functional: PBE
Structure: relaxed

ΔH_f (0 K) = 0.01 eV/atom
Volume = 59.5 Å³/cell
Excess energy over the best structure of this formula in the dataset = 11.5 kJ/mol of atoms

Geometry as POSCAR:
```
TcRuPt2
1.0
-4.111 1.368 -2.048
-4.756 -0.555 -0.181
-1.327 3.417 3.060
Pt Tc Ru
2 1 1
Cartesian
-5.095 2.110 0.411
-8.869 0.818 -2.224
-2.549 1.057 0.208
-7.646 3.172 0.624
```



2.
Compound: TcRuPt2
Source: Alexandria
Functional: PBE
Structure: relaxed

ΔH_f (0 K) = -0.02 eV/atom
Volume = 59.4 Å³/cell
Excess energy over the best structure of this formula in the dataset = 9.3 kJ/mol of atoms

Geometry as POSCAR:
```
TcRuPt2
1.0
-1.165 0.855 -4.611
-2.620 -3.614 -1.851
-0.397 2.625 4.040
Ru Pt Tc
1 2 1
Cartesian
-2.455 -1.185 -0.521
-1.892 -1.380 -3.231
0.000 0.000 0.000
-1.727 1.050 -1.901
```



3.
Compound: TcRuPt2
Source: Alexandria
Functional: PBE
Structure: relaxed

ΔH_f (0 K) = -0.11 eV/atom
Volume = 59.7 Å³/cell
Excess energy over the best structure of this formula in the dataset = 0.7 kJ/mol of atoms

Geometry as POSCAR:
```
TcRuPt2
1.0
9.272 0.000 0.000
8.865 2.717 0.000
8.865 1.328 2.371
Ru Pt Tc
1 2 1
Cartesian
13.386 2.005 1.175
0.083 0.012 0.007
6.690 1.002 0.587
20.344 3.048 1.786
```



4.
Compound: TcRuPt2
Source: Alexandria
Functional: PBE
Structure: relaxed

ΔH_f (0 K) = -0.11 eV/atom
Volume = 59.7 Å³/cell
Excess energy over the best structure of this formula in the dataset = 0.0 kJ/mol of atoms

Geometry as POSCAR:
```
TcRuPt2
1.0
2.752 0.006 0.000
-0.006 2.752 0.000
0.000 0.000 7.882
Pt Tc Ru
2 1 1
Cartesian
1.373 1.379 2.033
0.000 0.000 7.801
1.373 1.379 5.808
0.000 0.000 4.063
```